VASP calculation (PBE) on an optimized crystal structure of ZnSbRu.

Calculated values
The value obtained for the total energy is -13.63 eV/cell. Its magnetic moment is 0.00 μB per formula unit. As for the excess energy over the best structure of this formula in the dataset: 1.07 eV/f.u. The raw formation energy comes out at 1.042 eV per formula unit.

Cell: 7.199 6.929 3.048 Å, 82.54 72.64 24.83°
Fractional positions:
Sb 0.351 0.351 0.649
Ru 0.003 0.003 0.997
Zn 0.646 0.646 0.354